[1]
# LiHo6Ga2 | Alexandria | PBE | optimized geometry
data_LiHo6Ga2
_chemical_formula_sum 'Li2 Ho12 Ga4'
_space_group_name_H-M_alt 'I m m m'
_space_group_IT_number 71
_space_group_name_Hall '-I 2 2'
_cell_length_a 4.888
_cell_length_b 7.095
_cell_length_c 14.927
_cell_angle_alpha 90.00
_cell_angle_beta 90.00
_cell_angle_gamma 90.00
loop_
_atom_site_label
_atom_site_fract_x
_atom_site_fract_y
_atom_site_fract_z
_atom_site_occupancy
Li1 0.000 0.000 0.000 1
Ho1 0.000 0.242 0.500 1
Ho2 0.000 0.251 0.168 1
Ga1 0.000 0.000 0.333 1
# formation enthalpy at 0 K	8	meV per atom
# V	258.86	Å³/f.u.
# VASP energy	-3.9295	eV per atom
# total magnetization	0.0	μB per formula unit

[2]
# LiHo2Ga | Alexandria | PBE | optimized geometry
data_LiHo2Ga
_chemical_formula_sum 'Li4 Ho8 Ga4'
_space_group_name_H-M_alt 'F m -3 m'
_space_group_IT_number 225
_space_group_name_Hall '-F 4 2 3'
_cell_length_a 7.169
_cell_length_b 7.169
_cell_length_c 7.169
_cell_angle_alpha 90.00
_cell_angle_beta 90.00
_cell_angle_gamma 90.00
loop_
_atom_site_label
_atom_site_fract_x
_atom_site_fract_y
_atom_site_fract_z
_atom_site_occupancy
Li1 0.000 0.000 0.000 1
Ho1 0.250 0.250 0.250 1
Ga1 0.000 0.000 0.500 1
# formation enthalpy at 0 K	-314	meV per atom
# V	92.11	Å³/f.u.
# VASP energy	-3.8385	eV per atom
# distance to the lowest polymorph of the same formula	0	meV/atom
# total magnetization	0.0	μB per formula unit

[3]
# LiHoLuGa | Alexandria | PBE | optimized geometry
data_LiHoLuGa
_chemical_formula_sum 'Li4 Ho4 Lu4 Ga4'
_space_group_name_H-M_alt 'F -4 3 m'
_space_group_IT_number 216
_space_group_name_Hall 'F -4 2 3'
_cell_length_a 7.106
_cell_length_b 7.106
_cell_length_c 7.106
_cell_angle_alpha 90.00
_cell_angle_beta 90.00
_cell_angle_gamma 90.00
loop_
_atom_site_label
_atom_site_fract_x
_atom_site_fract_y
_atom_site_fract_z
_atom_site_occupancy
Li1 0.000 0.000 0.000 1
Ho1 0.250 0.250 0.250 1
Lu1 0.250 0.250 0.750 1
Ga1 0.000 0.000 0.500 1
# formation enthalpy at 0 K	-309	meV per atom
# V	89.70	Å³/f.u.
# VASP energy	-3.8187	eV per atom
# total magnetization	0.0	μB per formula unit

[4]
# LiHoMgGa2 | Alexandria | PBE | optimized geometry
data_LiHoMgGa2
_chemical_formula_sum 'Li2 Ho2 Mg2 Ga4'
_space_group_name_H-M_alt 'P m m a'
_space_group_IT_number 51
_space_group_name_Hall '-P 2a 2a'
_cell_length_a 5.583
_cell_length_b 6.212
_cell_length_c 5.851
_cell_angle_alpha 90.00
_cell_angle_beta 90.00
_cell_angle_gamma 90.00
loop_
_atom_site_label
_atom_site_fract_x
_atom_site_fract_y
_atom_site_fract_z
_atom_site_occupancy
Li1 0.000 0.000 0.000 1
Ho1 0.250 0.500 0.244 1
Mg1 0.250 0.000 0.410 1
Ga1 0.250 0.291 0.762 1
# formation enthalpy at 0 K	-265	meV per atom
# V	101.45	Å³/f.u.
# VASP energy	-3.0928	eV per atom
# total magnetization	0.0	μB per formula unit

[5]
# Li2HoMgGa2 | Alexandria | PBE | optimized geometry
data_Li2HoMgGa2
_chemical_formula_sum 'Li2 Ho1 Mg1 Ga2'
_space_group_name_H-M_alt 'P -3 m 1'
_space_group_IT_number 164
_space_group_name_Hall '-P 3 2"'
_cell_length_a 4.5578
_cell_length_b 4.5578
_cell_length_c 6.4419
_cell_angle_alpha 90.00
_cell_angle_beta 90.00
_cell_angle_gamma 120.00
loop_
_atom_site_label
_atom_site_fract_x
_atom_site_fract_y
_atom_site_fract_z
_atom_site_occupancy
Li1 0.3333 0.6667 0.3041 1
Ho1 0.0000 0.0000 0.0000 1
Mg1 0.0000 0.0000 0.5000 1
Ga1 0.3333 0.6667 0.7654 1
# formation enthalpy at 0 K	-330	meV per atom
# V	115.89	Å³/f.u.
# VASP energy	-3.0061	eV per atom
# total magnetization	0.0	μB per formula unit

[6]
# LiHoMnGa | Alexandria | PBE | optimized geometry
data_LiHoMnGa
_chemical_formula_sum 'Li4 Ho4 Mn4 Ga4'
_space_group_name_H-M_alt 'F -4 3 m'
_space_group_IT_number 216
_space_group_name_Hall 'F -4 2 3'
_cell_length_a 6.587
_cell_length_b 6.587
_cell_length_c 6.587
_cell_angle_alpha 90.00
_cell_angle_beta 90.00
_cell_angle_gamma 90.00
loop_
_atom_site_label
_atom_site_fract_x
_atom_site_fract_y
_atom_site_fract_z
_atom_site_occupancy
Li1 0.000 0.000 0.000 1
Ho1 0.250 0.250 0.750 1
Mn1 0.000 0.000 0.500 1
Ga1 0.250 0.250 0.250 1
# formation enthalpy at 0 K	-79	meV per atom
# V	71.46	Å³/f.u.
# VASP energy	-4.7506	eV per atom
# total magnetization	4.0	μB per formula unit

[7]
# LiHoGaNi | Alexandria | PBE | optimized geometry
data_LiHoGaNi
_chemical_formula_sum 'Li4 Ho4 Ga4 Ni4'
_space_group_name_H-M_alt 'F -4 3 m'
_space_group_IT_number 216
_space_group_name_Hall 'F -4 2 3'
_cell_length_a 6.382
_cell_length_b 6.382
_cell_length_c 6.382
_cell_angle_alpha 90.00
_cell_angle_beta 90.00
_cell_angle_gamma 90.00
loop_
_atom_site_label
_atom_site_fract_x
_atom_site_fract_y
_atom_site_fract_z
_atom_site_occupancy
Li1 0.000 0.000 0.000 1
Ho1 0.250 0.250 0.750 1
Ga1 0.250 0.250 0.250 1
Ni1 0.000 0.000 0.500 1
# formation enthalpy at 0 K	-398	meV per atom
# V	64.97	Å³/f.u.
# VASP energy	-4.2227	eV per atom
# total magnetization	0.0	μB per formula unit

[8]
# Li3Ho2GaNi12 | Alexandria | PBE | optimized geometry
data_Li3Ho2GaNi12
_chemical_formula_sum 'Li9 Ho6 Ga3 Ni36'
_space_group_name_H-M_alt 'R -3 m'
_space_group_IT_number 166
_space_group_name_Hall '-R 3 2"'
_cell_length_a 5.4611
_cell_length_b 5.4611
_cell_length_c 28.8484
_cell_angle_alpha 90.00
_cell_angle_beta 90.00
_cell_angle_gamma 120.00
loop_
_atom_site_label
_atom_site_fract_x
_atom_site_fract_y
_atom_site_fract_z
_atom_site_occupancy
Li1 0.0000 0.5000 0.0000 1
Ho1 0.0000 0.0000 0.1388 1
Ga1 0.0000 0.0000 0.5000 1
Ni1 0.0077 0.5039 0.8943 1
Ni2 0.0523 0.5262 0.6171 1
# formation enthalpy at 0 K	66	meV per atom
# V	248.37	Å³/f.u.
# VASP energy	-4.7842	eV per atom
# total magnetization	1.2	μB per formula unit